(P)
First-principles (PBE-GGA) data for a relaxed CaAgN2 crystal, as listed in Alexandria.

a = 4.210 Å, b = 4.210 Å, c = 4.210 Å
α = 60.00°, β = 60.00°, γ = 60.00°
Site moments in Bohr magnetons follow the coordinates.
Element x y z (fractional)
Ca 0.000 0.000 0.000  0.04
Ag 0.500 0.500 0.500  0.23
N 0.250 0.250 0.250  0.83
N 0.750 0.750 0.750  0.83

symmetry = No. 225


(Q)
First-principles (PBE-GGA) data for a relaxed CaAgN2 crystal, as listed in Alexandria.

a = 6.584 Å, b = 6.584 Å, c = 6.584 Å
α = 30.96°, β = 30.96°, γ = 30.96°
Element x y z (fractional)
Ca 0.000 0.000 0.000
Ag 0.500 0.500 0.500
N 0.881 0.881 0.881
N 0.119 0.119 0.119

symmetry = No. 166


(R)
First-principles (PBE-GGA) data for a relaxed CaAgN2 crystal, as listed in Alexandria.

a = 6.725 Å, b = 6.725 Å, c = 6.725 Å
α = 31.81°, β = 31.81°, γ = 31.81°
Site moments in Bohr magnetons follow the coordinates.
Element x y z (fractional)
Ca 0.500 0.500 0.500  0.07
Ag 0.000 0.000 0.000  0.33
N 0.896 0.896 0.896  0.88
N 0.104 0.104 0.104  0.88

symmetry = No. 166


(S)
First-principles (PBE-GGA) data for a relaxed CaAgN2 crystal, as listed in Alexandria.

a = 4.923 Å, b = 4.923 Å, c = 6.525 Å
α = 67.84°, β = 67.84°, γ = 90.00°
Element x y z (fractional)
Ca 0.500 0.500 0.000
Ca 0.250 0.750 0.500
Ag 0.000 0.000 0.000
Ag 0.750 0.250 0.500
N 0.676 0.125 0.250
N 0.074 0.625 0.250
N 0.375 0.324 0.750
N 0.875 0.926 0.750

symmetry = No. 122


Of them, (Q) has the lowest stability.